# PBE+U Sc2MnAlO6, relaxed
# DFT total energy   -8.11 eV/atom
# Space-group type   P1, No. 1
data_Sc2MnAlO6
_chemical_formula_sum 'Sc2 Mn1 Al1 O6'
_cell_length_a 5.1515
_cell_length_b 5.1574
_cell_length_c 5.4133
_cell_angle_alpha 61.71
_cell_angle_beta 61.36
_cell_angle_gamma 59.81
_space_group_name_H-M_alt 'P 1'
_space_group_IT_number 1
loop_
_space_group_symop_operation_xyz
'x,y,z'
loop_
_atom_site_label
_atom_site_type_symbol
_atom_site_fract_x
_atom_site_fract_y
_atom_site_fract_z
O1 O 0.1007 0.4447 0.7699
O2 O 0.4438 0.6836 0.7692
O3 O 0.5892 0.1950 0.2604
O4 O 0.9529 0.5920 0.2608
O5 O 0.1974 0.9554 0.2574
O6 O 0.6886 0.0991 0.7672
Mn1 Mn 0.8191 0.8172 0.5464
Al1 Al 0.3149 0.3153 0.0554
Sc1 Sc 0.5241 0.5281 0.4179
Sc2 Sc 0.0309 0.0312 0.9105